A geometry-optimized NaEuO2 structure, computed with GGA-PBE.

Fermi-level density of states = 0.641 states/eV per atom
Total energy = -28.97 eV for the cell shown
Calculated volume = 13.79 A^3/atom
SG = P4/mmm, No. 123

Cell lengths 3.0181, 3.0181, 6.0558 Å; angles 90.00, 90.00, 90.00 degrees
With the nearest neighbours (Å) after each atom.
Fractional coordinates of all 4 atoms:
O (0.0000, 0.0000, 0.7812)  4 Eu 2.51, 1 O 2.65, 4 Na 2.73
O (0.0000, 0.0000, 0.2188)  4 Eu 2.51, 1 O 2.65, 4 Na 2.73
Eu (0.5000, 0.5000, 0.0000)  8 O 2.51
Na (0.5000, 0.5000, 0.5000)  8 O 2.73, 4 Na 3.02, 2 Eu 3.03